# 1
## PmPaHgSb (PBE-GGA)

Data for crystalline PmPaHgSb at its relaxed geometry.

Cell and atoms, written as CIF:
```
data_PmPaHgSb
_space_group_name_H-M_alt 'F -4 3 m'
_space_group_IT_number 216
_space_group_name_Hall 'F -4 2 3'
_cell_length_a 7.5695
_cell_length_b 7.5695
_cell_length_c 7.5695
_cell_angle_alpha 90.00
_cell_angle_beta 90.00
_cell_angle_gamma 90.00
loop_
_atom_site_label
_atom_site_type_symbol
_atom_site_fract_x
_atom_site_fract_y
_atom_site_fract_z
_atom_site_occupancy
Pm1 Pm 0.0000 0.0000 0.0000 1
Pa1 Pa 0.0000 0.0000 0.5000 1
Hg1 Hg 0.2500 0.2500 0.7500 1
Sb1 Sb 0.2500 0.2500 0.2500 1
```

Output
Final energy   -4.965 eV/atom
Formation energy from raw total energies   -0.30 eV/atom

# 2
## PmPaSiHg (PBE-GGA)

Data for crystalline PmPaSiHg at its relaxed geometry.

Cell and atoms, written as CIF:
```
data_PmPaSiHg
_space_group_name_H-M_alt 'F -4 3 m'
_space_group_IT_number 216
_space_group_name_Hall 'F -4 2 3'
_cell_length_a 7.3268
_cell_length_b 7.3268
_cell_length_c 7.3268
_cell_angle_alpha 90.00
_cell_angle_beta 90.00
_cell_angle_gamma 90.00
loop_
_atom_site_label
_atom_site_type_symbol
_atom_site_fract_x
_atom_site_fract_y
_atom_site_fract_z
_atom_site_occupancy
Pm1 Pm 0.0000 0.0000 0.0000 1
Pa1 Pa 0.0000 0.0000 0.5000 1
Si1 Si 0.2500 0.2500 0.2500 1
Hg1 Hg 0.2500 0.2500 0.7500 1
```

Output
Final energy   -5.119 eV/atom
Formation energy from raw total energies   -0.13 eV/atom

# 3
## PmPaTcHg (PBE-GGA)

Data for crystalline PmPaTcHg at its relaxed geometry.

Cell and atoms, written as CIF:
```
data_PmPaTcHg
_space_group_name_H-M_alt 'F -4 3 m'
_space_group_IT_number 216
_space_group_name_Hall 'F -4 2 3'
_cell_length_a 7.2205
_cell_length_b 7.2205
_cell_length_c 7.2205
_cell_angle_alpha 90.00
_cell_angle_beta 90.00
_cell_angle_gamma 90.00
loop_
_atom_site_label
_atom_site_type_symbol
_atom_site_fract_x
_atom_site_fract_y
_atom_site_fract_z
_atom_site_occupancy
Pm1 Pm 0.0000 0.0000 0.0000 1
Pa1 Pa 0.0000 0.0000 0.5000 1
Tc1 Tc 0.2500 0.2500 0.7500 1
Hg1 Hg 0.2500 0.2500 0.2500 1
```

Output
DFT formation energy   0.0766 eV/atom
Final energy   -6.152 eV/atom

# 4
## Pr2PaHg (PBE-GGA)

Data for crystalline Pr2PaHg at its relaxed geometry.

Cell and atoms, written as CIF:
```
data_Pr2PaHg
_space_group_name_H-M_alt 'R -3 m'
_space_group_IT_number 166
_space_group_name_Hall '-R 3 2"'
_cell_length_a 3.3566
_cell_length_b 3.3566
_cell_length_c 35.9124
_cell_angle_alpha 90.00
_cell_angle_beta 90.00
_cell_angle_gamma 120.00
loop_
_atom_site_label
_atom_site_type_symbol
_atom_site_fract_x
_atom_site_fract_y
_atom_site_fract_z
_atom_site_occupancy
Pr1 Pr 0.0000 0.0000 0.0906 1
Pa1 Pa 0.0000 0.0000 0.0000 1
Hg1 Hg 0.0000 0.0000 0.5000 1
```

Output
DFT formation energy   0.2193 eV/atom
Final energy   -4.620 eV/atom
ΔE to the lowest computed polymorph   287 meV per atom